<P>
First-principles (GGA-PBE) data for RbLiSe2N after structural relaxation, as listed in Alexandria.

a = 6.262 Å, b = 6.262 Å, c = 5.391 Å
α = 90.00°, β = 90.00°, γ = 90.00°
Fractional coordinates of all 5 atoms:
Rb 0.000 0.000 0.000
Li 0.500 0.500 0.500
Se 0.000 0.500 0.000
Se 0.500 0.000 0.000
N 0.000 0.000 0.500

Magnetic moment   5.022 Bohr magnetons per cell

<Q>
First-principles (GGA-PBE) data for RbLiSe2N after structural relaxation, as listed in Alexandria.

a = 4.823 Å, b = 4.823 Å, c = 5.341 Å
α = 90.00°, β = 90.00°, γ = 90.00°
Fractional coordinates of all 5 atoms:
Rb 0.000 0.000 0.000
Li 0.500 0.500 0.500
Se 0.000 0.500 0.500
Se 0.500 0.000 0.500
N 0.500 0.500 0.000

Magnetic moment   3.079 Bohr magnetons per cell

Energies relative to the minimum, meV per atom: <P> 733; <Q> 0

<P>
First-principles (GGA-PBE) data for RbLiTeN2 after structural relaxation, as listed in Alexandria.

a = 5.265 Å, b = 5.265 Å, c = 7.154 Å
α = 90.00°, β = 90.00°, γ = 90.00°
Fractional coordinates of all 5 atoms:
Rb 0.000 0.000 0.000
Li 0.500 0.500 0.500
Te 0.000 0.000 0.500
N 0.000 0.500 0.000
N 0.500 0.000 0.000

Magnetic moment   3.834 Bohr magnetons per cell

<Q>
First-principles (GGA-PBE) data for RbLiTeN2 after structural relaxation, as listed in Alexandria.

a = 5.007 Å, b = 5.007 Å, c = 5.317 Å
α = 90.00°, β = 90.00°, γ = 90.00°
Fractional coordinates of all 5 atoms:
Rb 0.000 0.000 0.000
Li 0.500 0.500 0.500
Te 0.500 0.500 0.000
N 0.000 0.500 0.500
N 0.500 0.000 0.500

Magnetic moment   5.956 Bohr magnetons per cell

Energies relative to the minimum, meV per atom: <P> 705; <Q> 0

<P>
First-principles (GGA-PBE) data for LiRe3N after structural relaxation, as listed in Alexandria.

a = 4.094 Å, b = 4.094 Å, c = 4.094 Å
α = 90.00°, β = 90.00°, γ = 90.00°
Fractional coordinates of all 5 atoms:
Li 0.000 0.000 0.000
Re 0.000 0.000 0.500
Re 0.000 0.500 0.000
Re 0.500 0.000 0.000
N 0.500 0.500 0.500

Magnetic moment   0.000 Bohr magnetons per cell

<Q>
First-principles (GGA-PBE) data for LiRe3N after structural relaxation, as listed in Alexandria.

a = 4.044 Å, b = 4.044 Å, c = 4.044 Å
α = 90.00°, β = 90.00°, γ = 90.00°
Fractional coordinates of all 5 atoms:
Li 0.000 0.000 0.000
Re 0.000 0.500 0.500
Re 0.500 0.000 0.500
Re 0.500 0.500 0.000
N 0.500 0.500 0.500

Magnetic moment   0.000 Bohr magnetons per cell

Energies relative to the minimum, meV per atom: <P> 2258; <Q> 0

<P>
First-principles (GGA-PBE) data for LiReSeN2 after structural relaxation, as listed in Alexandria.

a = 3.828 Å, b = 3.828 Å, c = 5.354 Å
α = 90.00°, β = 90.00°, γ = 90.00°
Fractional coordinates of all 5 atoms:
Li 0.000 0.000 0.000
Re 0.500 0.500 0.500
Se 0.500 0.500 0.000
N 0.000 0.500 0.500
N 0.500 0.000 0.500

Magnetic moment   0.003 Bohr magnetons per cell

<Q>
First-principles (GGA-PBE) data for LiReSeN2 after structural relaxation, as listed in Alexandria.

a = 3.674 Å, b = 3.674 Å, c = 4.364 Å
α = 90.00°, β = 90.00°, γ = 90.00°
Fractional coordinates of all 5 atoms:
Li 0.000 0.000 0.000
Re 0.500 0.500 0.500
Se 0.000 0.000 0.500
N 0.000 0.500 0.000
N 0.500 0.000 0.000

Magnetic moment   0.000 Bohr magnetons per cell

Energies relative to the minimum, meV per atom: <P> 0; <Q> 1925

<P>
First-principles (GGA-PBE) data for LiRhN after structural relaxation, as listed in Alexandria.

a = 4.087 Å, b = 3.073 Å, c = 3.073 Å
α = 78.19°, β = 90.00°, γ = 90.00°
Fractional coordinates of all 3 atoms:
Li 0.000 0.000 0.000
Rh 0.500 0.542 0.542
N 0.500 0.959 0.959

Magnetic moment   0.000 Bohr magnetons per cell

<Q>
First-principles (GGA-PBE) data for LiRhN after structural relaxation, as listed in Alexandria.

a = 3.121 Å, b = 3.121 Å, c = 4.468 Å
α = 90.00°, β = 90.00°, γ = 120.00°
Fractional coordinates of all 3 atoms:
Li 0.000 0.000 0.000
Rh 0.333 0.667 0.459
N 0.667 0.333 0.288

Magnetic moment   0.000 Bohr magnetons per cell

<R>
First-principles (GGA-PBE) data for LiRhN after structural relaxation, as listed in Alexandria.

a = 4.974 Å, b = 4.974 Å, c = 4.974 Å
α = 147.93°, β = 147.93°, γ = 45.99°
Fractional coordinates of all 3 atoms:
Li 0.000 0.000 0.000
Rh 0.730 0.730 0.000
N 0.319 0.319 0.000

Magnetic moment   0.000 Bohr magnetons per cell

Energies relative to the minimum, meV per atom: <P> 141; <Q> 0; <R> 243

<P>
First-principles (GGA-PBE) data for LiRhSe2N after structural relaxation, as listed in Alexandria.

a = 5.224 Å, b = 5.224 Å, c = 3.614 Å
α = 90.00°, β = 90.00°, γ = 90.00°
Fractional coordinates of all 5 atoms:
Li 0.000 0.000 0.000
Rh 0.500 0.500 0.500
Se 0.000 0.500 0.500
Se 0.500 0.000 0.500
N 0.500 0.500 0.000

Magnetic moment   0.002 Bohr magnetons per cell

<Q>
First-principles (GGA-PBE) data for LiRhSe2N after structural relaxation, as listed in Alexandria.

a = 4.668 Å, b = 4.668 Å, c = 3.377 Å
α = 90.00°, β = 90.00°, γ = 90.00°
Fractional coordinates of all 5 atoms:
Li 0.000 0.000 0.000
Rh 0.500 0.500 0.500
Se 0.000 0.500 0.000
Se 0.500 0.000 0.000
N 0.000 0.000 0.500

Magnetic moment   0.568 Bohr magnetons per cell

Energies relative to the minimum, meV per atom: <P> 0; <Q> 824

<P>
First-principles (GGA-PBE) data for LiRhSeN2 after structural relaxation, as listed in Alexandria.

a = 3.784 Å, b = 3.784 Å, c = 5.506 Å
α = 90.00°, β = 90.00°, γ = 90.00°
Fractional coordinates of all 5 atoms:
Li 0.000 0.000 0.000
Rh 0.500 0.500 0.500
Se 0.500 0.500 0.000
N 0.000 0.500 0.500
N 0.500 0.000 0.500

Magnetic moment   0.366 Bohr magnetons per cell

<Q>
First-principles (GGA-PBE) data for LiRhSeN2 after structural relaxation, as listed in Alexandria.

a = 3.678 Å, b = 3.678 Å, c = 4.507 Å
α = 90.00°, β = 90.00°, γ = 90.00°
Fractional coordinates of all 5 atoms:
Li 0.000 0.000 0.000
Rh 0.500 0.500 0.500
Se 0.000 0.000 0.500
N 0.000 0.500 0.000
N 0.500 0.000 0.000

Magnetic moment   0.473 Bohr magnetons per cell

Energies relative to the minimum, meV per atom: <P> 0; <Q> 1023

<P>
First-principles (GGA-PBE) data for LiTeRhN2 after structural relaxation, as listed in Alexandria.

a = 3.836 Å, b = 3.836 Å, c = 5.793 Å
α = 90.00°, β = 90.00°, γ = 90.00°
Fractional coordinates of all 5 atoms:
Li 0.000 0.000 0.000
Te 0.500 0.500 0.000
Rh 0.500 0.500 0.500
N 0.000 0.500 0.500
N 0.500 0.000 0.500

Magnetic moment   0.369 Bohr magnetons per cell

<Q>
First-principles (GGA-PBE) data for LiTeRhN2 after structural relaxation, as listed in Alexandria.

a = 3.767 Å, b = 3.767 Å, c = 5.024 Å
α = 90.00°, β = 90.00°, γ = 90.00°
Fractional coordinates of all 5 atoms:
Li 0.000 0.000 0.000
Te 0.000 0.000 0.500
Rh 0.500 0.500 0.500
N 0.000 0.500 0.000
N 0.500 0.000 0.000

Magnetic moment   1.259 Bohr magnetons per cell

Energies relative to the minimum, meV per atom: <P> 0; <Q> 957

<P>
First-principles (GGA-PBE) data for LiTe2RhN after structural relaxation, as listed in Alexandria.

a = 5.629 Å, b = 5.629 Å, c = 3.613 Å
α = 90.00°, β = 90.00°, γ = 90.00°
Fractional coordinates of all 5 atoms:
Li 0.000 0.000 0.000
Te 0.000 0.500 0.500
Te 0.500 0.000 0.500
Rh 0.500 0.500 0.500
N 0.500 0.500 0.000

Magnetic moment   0.000 Bohr magnetons per cell

<Q>
First-principles (GGA-PBE) data for LiTe2RhN after structural relaxation, as listed in Alexandria.

a = 5.047 Å, b = 5.047 Å, c = 3.353 Å
α = 90.00°, β = 90.00°, γ = 90.00°
Fractional coordinates of all 5 atoms:
Li 0.000 0.000 0.000
Te 0.000 0.500 0.000
Te 0.500 0.000 0.000
Rh 0.500 0.500 0.500
N 0.000 0.000 0.500

Magnetic moment   0.001 Bohr magnetons per cell

Energies relative to the minimum, meV per atom: <P> 0; <Q> 747

<P>
First-principles (GGA-PBE) data for LiRuN2 after structural relaxation, as listed in Alexandria.

a = 6.063 Å, b = 6.063 Å, c = 6.063 Å
α = 29.26°, β = 29.26°, γ = 29.26°
Fractional coordinates of all 4 atoms:
Li 0.000 0.000 0.000
Ru 0.500 0.500 0.500
N 0.107 0.107 0.107
N 0.893 0.893 0.893

Magnetic moment   0.000 Bohr magnetons per cell

<Q>
First-principles (GGA-PBE) data for LiRuN2 after structural relaxation, as listed in Alexandria.

a = 5.622 Å, b = 6.616 Å, c = 5.334 Å
α = 90.00°, β = 90.00°, γ = 90.00°
Fractional coordinates of all 16 atoms:
Li 0.081 0.123 0.000
Li 0.419 0.623 0.500
Li 0.581 0.377 0.000
Li 0.919 0.877 0.500
Ru 0.074 0.627 0.005
Ru 0.426 0.127 0.505
Ru 0.574 0.873 0.005
Ru 0.926 0.373 0.505
N 0.061 0.604 0.357
N 0.105 0.145 0.404
N 0.395 0.645 0.904
N 0.439 0.104 0.857
N 0.561 0.896 0.357
N 0.605 0.355 0.404
N 0.895 0.855 0.904
N 0.939 0.396 0.857

Magnetic moment   0.000 Bohr magnetons per cell

Energies relative to the minimum, meV per atom: <P> 355; <Q> 0

<P>
First-principles (GGA-PBE) data for LiRuN2 after structural relaxation, as listed in Alexandria.

a = 5.565 Å, b = 5.565 Å, c = 5.565 Å
α = 130.38°, β = 130.38°, γ = 72.80°
Fractional coordinates of all 8 atoms:
Li 0.000 0.000 0.000
Li 0.750 0.250 0.500
Ru 0.250 0.750 0.500
Ru 0.500 0.500 0.000
N 0.168 0.625 0.043
N 0.375 0.418 0.543
N 0.582 0.125 0.957
N 0.875 0.832 0.457

Magnetic moment   0.000 Bohr magnetons per cell

<Q>
First-principles (GGA-PBE) data for LiRuN2 after structural relaxation, as listed in Alexandria.

a = 6.670 Å, b = 6.670 Å, c = 6.670 Å
α = 24.78°, β = 24.78°, γ = 24.78°
Fractional coordinates of all 4 atoms:
Li 0.000 0.000 0.000
Ru 0.500 0.500 0.500
N 0.407 0.407 0.407
N 0.593 0.593 0.593

Magnetic moment   0.172 Bohr magnetons per cell

<R>
First-principles (GGA-PBE) data for LiRuN2 after structural relaxation, as listed in Alexandria.

a = 3.592 Å, b = 3.592 Å, c = 3.592 Å
α = 60.00°, β = 60.00°, γ = 60.00°
Fractional coordinates of all 4 atoms:
Li 0.000 0.000 0.000
Ru 0.500 0.500 0.500
N 0.250 0.250 0.250
N 0.750 0.750 0.750

Magnetic moment   0.000 Bohr magnetons per cell

Energies relative to the minimum, meV per atom: <P> 0; <Q> 819; <R> 464

<P>
First-principles (GGA-PBE) data for LiRu3N after structural relaxation, as listed in Alexandria.

a = 4.004 Å, b = 4.004 Å, c = 4.004 Å
α = 90.00°, β = 90.00°, γ = 90.00°
Fractional coordinates of all 5 atoms:
Li 0.000 0.000 0.000
Ru 0.000 0.500 0.500
Ru 0.500 0.000 0.500
Ru 0.500 0.500 0.000
N 0.500 0.500 0.500

Magnetic moment   0.430 Bohr magnetons per cell

<Q>
First-principles (GGA-PBE) data for LiRu3N after structural relaxation, as listed in Alexandria.

a = 4.051 Å, b = 4.051 Å, c = 4.051 Å
α = 90.00°, β = 90.00°, γ = 90.00°
Fractional coordinates of all 5 atoms:
Li 0.000 0.000 0.000
Ru 0.000 0.000 0.500
Ru 0.000 0.500 0.000
Ru 0.500 0.000 0.000
N 0.500 0.500 0.500

Magnetic moment   1.806 Bohr magnetons per cell

Energies relative to the minimum, meV per atom: <P> 0; <Q> 2045